1.
Compound: LiSi2Ni2
Source: the Alexandria database
Functional: meta-GGA SCAN
Structure: single point on PBEsol structure

Unit cell a=3.6376 b=3.6376 c=5.5949 alpha=108.97 beta=108.97 gamma=90.00
Last column: nearest neighbours and their distance in Å.
Fractional positions:
1 Li 0.0000 0.0000 0.0000  8 Si 2.82, 8 Ni 3.08
2 Si 0.3844 0.3844 0.7687  4 Ni 2.26, 1 Si 2.30
3 Si 0.6156 0.6156 0.2313  4 Ni 2.26, 1 Si 2.30
4 Ni 0.2500 0.7500 0.5000  4 Si 2.26
5 Ni 0.7500 0.2500 0.5000  4 Si 2.26

**DOS(E_F)**: 1.89 states/eV per cell
**Uncorrected formation energy**: -0.40 eV/atom
**SG**: I4/mmm, No. 139



2.
Compound: Na3YC2O6F2
Source: the Alexandria database
Functional: meta-GGA SCAN
Structure: single point on PBEsol structure

Unit cell a=7.0186 b=7.1674 c=14.7957 alpha=90.00 beta=90.00 gamma=113.39
Last column: nearest neighbours and their distance in Å.
Fractional positions:
1 O 0.2860 0.4267 0.4456  1 C 1.26
2 O 0.8851 0.9501 0.2012  1 C 1.32
3 O 0.7135 0.3346 0.0488  1 C 1.27
4 O 0.5921 0.7032 0.1579  1 C 1.30
5 O 0.4078 0.0494 0.3446  1 C 1.30
6 O 0.5922 0.9506 0.6554  1 C 1.30
7 O 0.2135 0.8346 0.4512  1 C 1.27
8 O 0.0922 0.4506 0.8446  1 C 1.30
9 O 0.8855 0.2006 0.6961  1 C 1.31
10 O 0.1149 0.0499 0.7988  1 C 1.32
11 O 0.3855 0.7006 0.8039  1 C 1.31
12 O 0.9078 0.5494 0.1554  1 C 1.30
13 O 0.3851 0.4501 0.2988  1 C 1.32
14 O 0.1145 0.7994 0.3039  1 C 1.31
15 O 0.9079 0.7968 0.6579  1 C 1.30
16 O 0.2865 0.6654 0.9512  1 C 1.27
17 O 0.7865 0.1654 0.5488  1 C 1.27
18 O 0.0921 0.2032 0.3421  1 C 1.30
19 O 0.7140 0.5733 0.5544  1 C 1.26
20 O 0.6145 0.2994 0.1961  1 C 1.31
21 O 0.7860 0.9267 0.0544  1 C 1.26
22 O 0.4079 0.2968 0.8421  1 C 1.30
23 O 0.6149 0.5499 0.7012  1 C 1.32
24 O 0.2140 0.0733 0.9456  1 C 1.26
25 C 0.7539 0.8639 0.1349  3 O 1.26-1.32
26 C 0.7548 0.1092 0.6310  3 O 1.27-1.31
27 C 0.7461 0.6361 0.6349  3 O 1.26-1.32
28 C 0.2539 0.3639 0.3651  3 O 1.26-1.32
29 C 0.2548 0.6092 0.8690  3 O 1.27-1.31
30 C 0.2461 0.1361 0.8651  3 O 1.26-1.32
31 C 0.7452 0.3908 0.1310  3 O 1.27-1.31
32 C 0.2452 0.8908 0.3690  3 O 1.27-1.31
33 Y 0.7501 0.6262 0.2849  2 F 2.14-2.16, 4 O 2.36-2.38
34 Y 0.2499 0.3738 0.7151  2 F 2.14-2.16, 4 O 2.36-2.38
35 Y 0.7499 0.8738 0.7849  2 F 2.14-2.16, 4 O 2.36-2.38
36 Y 0.2501 0.1262 0.2151  2 F 2.14-2.16, 4 O 2.36-2.38
37 F 0.7804 0.4160 0.3807  1 Y 2.14, 2 Na 2.25-2.26
38 F 0.7205 0.8268 0.3882  1 Y 2.16, 2 Na 2.30-2.34
39 F 0.7196 0.0840 0.8807  1 Y 2.14, 2 Na 2.25-2.26
40 F 0.2795 0.1732 0.6118  1 Y 2.16, 2 Na 2.30-2.34
41 F 0.2804 0.9160 0.1193  1 Y 2.14, 2 Na 2.25-2.26
42 F 0.2196 0.5840 0.6193  1 Y 2.14, 2 Na 2.25-2.26
43 F 0.7795 0.6732 0.8882  1 Y 2.16, 2 Na 2.30-2.34
44 F 0.2205 0.3268 0.1118  1 Y 2.16, 2 Na 2.30-2.34
45 Na 0.0000 0.5000 0.5000  2 F 2.26, 4 O 2.38-2.41
46 Na 0.9850 0.2406 0.9916  4 O 2.32-2.58, 2 F 2.34-2.40
47 Na 0.0000 0.0000 0.5000  2 O 2.36, 2 F 2.49
48 Na 0.2490 0.6205 0.1841  2 F 2.25-2.30, 3 O 2.27-2.49
49 Na 0.5000 0.5000 0.0000  2 O 2.36, 2 F 2.49
50 Na 0.7510 0.3795 0.8159  2 F 2.25-2.30, 3 O 2.27-2.49
51 Na 0.4850 0.7406 0.5084  4 O 2.32-2.58, 2 F 2.34-2.40
52 Na 0.2510 0.8795 0.6841  2 F 2.25-2.30, 3 O 2.27-2.49
53 Na 0.5000 0.0000 0.0000  2 F 2.26, 4 O 2.38-2.41
54 Na 0.5150 0.2594 0.4916  4 O 2.32-2.58, 2 F 2.34-2.40
55 Na 0.7490 0.1205 0.3159  2 F 2.25-2.30, 3 O 2.27-2.49
56 Na 0.0150 0.7594 0.0084  4 O 2.32-2.58, 2 F 2.34-2.40

**DOS(E_F)**: 0.00 states/eV per cell
**Uncorrected formation energy**: -2.50 eV/atom
**SG**: P2_1/c, No. 14



3.
Compound: SmYO3
Source: the Alexandria database
Functional: meta-GGA SCAN
Structure: single point on PBEsol structure

Unit cell a=5.7900 b=5.9295 c=8.3619 alpha=90.00 beta=90.00 gamma=90.00
Last column: nearest neighbours and their distance in Å.
Fractional positions:
1 O 0.6330 0.4189 0.4544  2 Y 2.24-2.32, 2 Sm 2.28-2.40
2 O 0.8670 0.9189 0.4544  2 Y 2.24-2.32, 2 Sm 2.28-2.40
3 O 0.7062 0.2312 0.1144  2 Y 2.23-2.27, 2 Sm 2.28-2.43
4 O 0.8469 0.6310 0.7526  2 Y 2.22-2.29, 1 Sm 2.30
5 O 0.3469 0.8690 0.2526  2 Y 2.22-2.29, 1 Sm 2.30
6 O 0.2062 0.2688 0.6144  2 Y 2.23-2.27, 2 Sm 2.28-2.43
7 O 0.3670 0.5811 0.9544  2 Y 2.24-2.32, 2 Sm 2.28-2.40
8 O 0.7938 0.7312 0.1144  2 Y 2.23-2.27, 2 Sm 2.28-2.43
9 O 0.1330 0.0811 0.9544  2 Y 2.24-2.32, 2 Sm 2.28-2.40
10 O 0.2938 0.7688 0.6144  2 Y 2.23-2.27, 2 Sm 2.28-2.43
11 O 0.6531 0.1310 0.7526  2 Y 2.22-2.29, 1 Sm 2.30
12 O 0.1531 0.3690 0.2526  2 Y 2.22-2.29, 1 Sm 2.30
13 Sm 0.9939 0.4608 0.9781  6 O 2.28-2.53
14 Sm 0.0061 0.5392 0.4781  6 O 2.28-2.53
15 Sm 0.5061 0.9608 0.9781  6 O 2.28-2.53
16 Sm 0.4939 0.0392 0.4781  6 O 2.28-2.53
17 Y 0.5006 0.5177 0.2121  6 O 2.22-2.32
18 Y 0.9994 0.0177 0.2121  6 O 2.22-2.32
19 Y 0.4994 0.4823 0.7121  6 O 2.22-2.32
20 Y 0.0006 0.9823 0.7121  6 O 2.22-2.32

**DOS(E_F)**: 0.00 states/eV per cell
**Uncorrected formation energy**: -3.80 eV/atom
**SG**: Pna2_1, No. 33



4.
Compound: Be2SbPb
Source: the Alexandria database
Functional: meta-GGA SCAN
Structure: single point on PBEsol structure

Unit cell a=4.8632 b=4.8632 c=4.8632 alpha=60.00 beta=60.00 gamma=60.00
Last column: nearest neighbours and their distance in Å.
Fractional positions:
1 Pb 0.5000 0.5000 0.5000  4 Be 2.98, 4 Sb 2.98
2 Sb 0.2500 0.2500 0.2500  4 Pb 2.98, 4 Be 2.98
3 Be 0.0000 0.0000 0.0000  4 Sb 2.98, 4 Be 2.98
4 Be 0.7500 0.7500 0.7500  4 Be 2.98, 4 Pb 2.98

**DOS(E_F)**: 2.24 states/eV per cell
**Uncorrected formation energy**: 0.98 eV/atom
**SG**: F-43m, No. 216



5.
Compound: SrCrAg2
Source: the Alexandria database
Functional: meta-GGA SCAN
Structure: single point on PBEsol structure

Unit cell a=4.5975 b=4.5975 c=5.9531 alpha=67.29 beta=67.29 gamma=60.00
Last column: nearest neighbours and their distance in Å.
Fractional positions:
1 Ag 0.0473 0.0473 0.8582  3 Ag 2.77, 3 Cr 2.84
2 Ag 0.7636 0.7636 0.7093  3 Cr 2.66, 3 Ag 2.77
3 Cr 0.4429 0.4429 0.6712  6 Ag 2.66-2.84
4 Sr 0.2462 0.2462 0.2613  4 Cr 3.14-3.44, 4 Ag 3.18-3.41

**DOS(E_F)**: 2.05 states/eV per cell
**SG**: R3m, No. 160
**Calculated formation energy**: 0.06 eV/atom



6.
Compound: CdHgTe
Source: the Alexandria database
Functional: meta-GGA SCAN
Structure: single point on PBEsol structure

Unit cell a=3.1202 b=3.1202 c=8.9821 alpha=90.00 beta=90.00 gamma=120.00
Last column: nearest neighbours and their distance in Å.
Fractional positions:
1 Hg 0.3333 0.6667 0.6822  6 Hg 3.12, 3 Cd 3.29
2 Te 0.6667 0.3333 0.3295  6 Te 3.12
3 Cd 0.0000 0.0000 0.9883  6 Cd 3.12, 3 Hg 3.29

**DOS(E_F)**: 1.34 states/eV per cell
**Uncorrected formation energy**: 0.14 eV/atom
**SG**: P3m1, No. 156



7.
Compound: YClO
Source: the Alexandria database
Functional: meta-GGA SCAN
Structure: single point on PBEsol structure

Unit cell a=3.7647 b=3.7647 c=9.8577 alpha=78.99 beta=78.99 gamma=60.00
Last column: nearest neighbours and their distance in Å.
Fractional positions:
1 Y 0.7158 0.7158 0.8527  4 O 2.25-2.26
2 Y 0.2842 0.2842 0.1473  4 O 2.25-2.26
3 O 0.3625 0.3625 0.9124  4 Y 2.25-2.26
4 O 0.6375 0.6375 0.0876  4 Y 2.25-2.26
5 Cl 0.8914 0.8914 0.3259  3 Y 2.77
6 Cl 0.1086 0.1086 0.6741  3 Y 2.77

**DOS(E_F)**: 0.00 states/eV per cell
**Uncorrected formation energy**: -3.45 eV/atom
**SG**: R-3m, No. 166



8.
Compound: MnAg2Pt
Source: the Alexandria database
Functional: meta-GGA SCAN
Structure: single point on PBEsol structure

Unit cell a=2.8451 b=2.8451 c=7.6596 alpha=90.00 beta=90.00 gamma=90.00
Last column: nearest neighbours and their distance in Å.
Fractional positions:
1 Mn 0.0000 0.0000 0.5140  4 Pt 2.60, 4 Ag 2.79, 4 Mn 2.85
2 Pt 0.5000 0.5000 0.7300  4 Mn 2.60, 4 Pt 2.85, 4 Ag 2.86
3 Ag 0.5000 0.5000 0.2613  4 Mn 2.79, 8 Ag 2.85-2.87
4 Ag 0.0000 0.0000 0.9947  8 Ag 2.85-2.87, 4 Pt 2.86

**DOS(E_F)**: 1.56 states/eV per cell
**SG**: P4mm, No. 99
**Calculated formation energy**: -0.25 eV/atom



9.
Compound: Ti3V2P6WO24
Source: the Alexandria database
Functional: meta-GGA SCAN
Structure: single point on PBEsol structure

Unit cell a=8.3331 b=8.3331 c=8.3331 alpha=63.04 beta=63.04 gamma=63.04
Last column: nearest neighbours and their distance in Å.
Fractional positions:
1 O 0.7422 0.9489 0.0936  1 P 1.56
2 O 0.5067 0.8881 0.6669  1 P 1.51
3 O 0.5592 0.7608 0.3998  1 P 1.56
4 O 0.0567 0.8943 0.2645  1 P 1.57
5 O 0.7608 0.3998 0.5592  1 P 1.56
6 O 0.9489 0.0936 0.7422  1 P 1.56
7 O 0.3872 0.9973 0.1742  1 P 1.53
8 O 0.1742 0.3872 0.9973  1 P 1.53
9 O 0.0007 0.8226 0.6168  1 P 1.52
10 O 0.3202 0.4961 0.1189  1 P 1.52
11 O 0.2422 0.5909 0.4514  1 P 1.56
12 O 0.8943 0.2645 0.0567  1 P 1.57
13 O 0.6669 0.5067 0.8881  1 P 1.51
14 O 0.1189 0.3202 0.4961  1 P 1.52
15 O 0.4961 0.1189 0.3202  1 P 1.52
16 O 0.9973 0.1742 0.3872  1 P 1.53
17 O 0.4514 0.2422 0.5909  1 P 1.56
18 O 0.0936 0.7422 0.9489  1 P 1.56
19 O 0.8226 0.6168 0.0007  1 P 1.52
20 O 0.2645 0.0567 0.8943  1 P 1.57
21 O 0.6168 0.0007 0.8226  1 P 1.52
22 O 0.5909 0.4514 0.2422  1 P 1.56
23 O 0.3998 0.5592 0.7608  1 P 1.56
24 O 0.8881 0.6669 0.5067  1 P 1.51
25 P 0.5435 0.9600 0.2470  4 O 1.52-1.56
26 P 0.0423 0.7413 0.4663  4 O 1.51-1.57
27 P 0.2470 0.5435 0.9600  4 O 1.52-1.56
28 P 0.4663 0.0423 0.7413  4 O 1.51-1.57
29 P 0.7413 0.4663 0.0423  4 O 1.51-1.57
30 P 0.9600 0.2470 0.5435  4 O 1.52-1.56
31 W 0.1343 0.1343 0.1343  6 O 1.99-2.04
32 V 0.5023 0.5023 0.5023  6 O 2.12-2.13
33 V 0.0038 0.0038 0.0038  6 O 2.11-2.15
34 Ti 0.8611 0.8611 0.8611  6 O 1.93-2.04
35 Ti 0.6366 0.6366 0.6366  6 O 1.95-2.02
36 Ti 0.3612 0.3612 0.3612  6 O 1.92-2.03

**DOS(E_F)**: 11.19 states/eV per cell
**Uncorrected formation energy**: -2.59 eV/atom
**SG**: R3, No. 146



10.
Compound: YPtCl
Source: the Alexandria database
Functional: meta-GGA SCAN
Structure: single point on PBEsol structure

Unit cell a=4.6292 b=4.6292 c=4.6292 alpha=60.00 beta=60.00 gamma=60.00
Last column: nearest neighbours and their distance in Å.
Fractional positions:
1 Cl 0.0000 0.0000 0.0000  4 Y 2.83
2 Y 0.2500 0.2500 0.2500  4 Cl 2.83, 4 Pt 2.83
3 Pt 0.5000 0.5000 0.5000  4 Y 2.83

**DOS(E_F)**: 0.00 states/eV per cell
**Uncorrected formation energy**: -1.32 eV/atom
**SG**: F-43m, No. 216



11.
Compound: TlCo2Pb
Source: the Alexandria database
Functional: meta-GGA SCAN
Structure: single point on PBEsol structure

Unit cell a=3.1887 b=3.1910 c=6.3613 alpha=90.00 beta=90.17 gamma=90.00
Last column: nearest neighbours and their distance in Å.
Fractional positions:
1 Pb 0.5000 0.5000 0.0000  8 Co 2.76-2.77
2 Co 0.0012 0.0000 0.7494  4 Tl 2.76, 4 Pb 2.76-2.77
3 Co 0.9988 0.0000 0.2506  4 Tl 2.76, 4 Pb 2.76-2.77
4 Tl 0.5000 0.5000 0.5000  8 Co 2.76

**DOS(E_F)**: 2.40 states/eV per cell
**SG**: P2/m, No. 10
**Calculated formation energy**: 0.72 eV/atom



12.
Compound: NiGeS2N
Source: the Alexandria database
Functional: meta-GGA SCAN
Structure: single point on PBEsol structure

Unit cell a=3.4006 b=4.6532 c=4.6532 alpha=90.00 beta=90.00 gamma=90.00
Last column: nearest neighbours and their distance in Å.
Fractional positions:
1 S 0.0000 0.5000 0.0000  2 Ni 2.33
2 S 0.0000 0.0000 0.5000  2 Ni 2.33
3 Ni 0.0000 0.0000 0.0000  2 N 1.70
4 Ge 0.5000 0.5000 0.5000  8 S 2.88
5 N 0.5000 0.0000 0.0000  2 Ni 1.70

**DOS(E_F)**: 2.41 states/eV per cell
**Uncorrected formation energy**: 0.55 eV/atom
**SG**: P4/mmm, No. 123